Material: TiPS2F
Method: DFT, PBE
State: optimized geometry

```
TiPS2F
1.0
-2.4087 -2.1672 -3.4174
1.2210 -4.1809 1.7907
-3.0227 0.0234 2.1157
Ti S P F
1 2 1 1
Cartesian
-2.1052 -3.1623 0.2445 Ti
0.6105 -2.0904 0.8954 S
-1.2044 -1.0836 -1.7087 S
-1.5114 0.0117 1.0578 P
0.0000 0.0000 0.0000 F
```

Properties
The electronic total energy is -4.373 eV per atom. The value obtained for the offset from the most stable computed form is 512 meV/atom. Its magnetic moment is 0.00 μB/f.u. As for the space-group type: P4/mmm, No. 123.